# 1
A crystal of La2ZrMn relaxed with PBEsol, computed with meta-GGA SCAN.

Crystal system = cubic
Energy of formation from the pure elements = 0.19 eV/atom
Offset from the most stable computed form = 105.1 meV/atom

Unit cell a=7.248 b=7.248 c=7.248 alpha=90.00 beta=90.00 gamma=90.00
Space group F-43m (No. 216)
Symmetry-distinct sites (fractional):
La 0.000 0.000 0.000 (multiplicity 4)
La 0.250 0.250 0.250 (multiplicity 4)
Zr 0.000 0.000 0.500 (multiplicity 4)
Mn 0.250 0.250 0.750 (multiplicity 4)

---

# 2
A crystal of La2ZrMn relaxed with PBEsol, computed with meta-GGA SCAN.

Crystal system = cubic
Energy of formation from the pure elements = 0.22 eV/atom
Offset from the most stable computed form = 134.9 meV/atom

Unit cell a=7.404 b=7.404 c=7.404 alpha=90.00 beta=90.00 gamma=90.00
Space group Fm-3m (No. 225)
Symmetry-distinct sites (fractional):
La 0.250 0.250 0.250 (multiplicity 8)
Zr 0.000 0.000 0.000 (multiplicity 4)
Mn 0.000 0.000 0.500 (multiplicity 4)

---

# 3
A crystal of La2Mo relaxed with PBEsol, computed with meta-GGA SCAN.

Crystal system = trigonal
Energy of formation from the pure elements = 0.58 eV/atom
Offset from the most stable computed form = 123.8 meV/atom

Unit cell a=3.4807 b=3.4807 c=7.3149 alpha=90.00 beta=90.00 gamma=120.00
Space group P-3m1 (No. 164)
Symmetry-distinct sites (fractional):
La 0.3333 0.6667 0.2087 (multiplicity 2)
Mo 0.0000 0.0000 0.5000 (multiplicity 1)

---

# 4
A crystal of LaMo2 relaxed with PBEsol, computed with meta-GGA SCAN.

Crystal system = orthorhombic
Energy of formation from the pure elements = 0.37 eV/atom
Offset from the most stable computed form = 0.0 meV/atom

Unit cell a=3.425 b=15.367 c=4.804 alpha=90.00 beta=90.00 gamma=90.00
Space group Cmcm (No. 63)
Symmetry-distinct sites (fractional):
La 0.000 0.076 0.250 (multiplicity 4)
Mo 0.000 0.254 0.750 (multiplicity 4)
Mo 0.000 0.360 0.250 (multiplicity 4)

---

# 5
A crystal of LaMo5 relaxed with PBEsol, computed with meta-GGA SCAN.

Crystal system = monoclinic
Energy of formation from the pure elements = 0.42 eV/atom
Offset from the most stable computed form = 0.0 meV/atom

Unit cell a=10.214 b=3.166 c=6.597 alpha=90.00 beta=107.76 gamma=90.00
Space group C2/m (No. 12)
Symmetry-distinct sites (fractional):
La 0.000 0.000 0.000 (multiplicity 2)
Mo 0.000 0.000 0.500 (multiplicity 2)
Mo 0.165 0.500 0.817 (multiplicity 4)
Mo 0.178 0.500 0.354 (multiplicity 4)

---

# 6
A crystal of La2Mo relaxed with PBEsol, computed with meta-GGA SCAN.

Crystal system = tetragonal
Energy of formation from the pure elements = 0.45 eV/atom
Offset from the most stable computed form = 0.0 meV/atom

Unit cell a=3.524 b=3.524 c=12.103 alpha=90.00 beta=90.00 gamma=90.00
Space group I4/mmm (No. 139)
Symmetry-distinct sites (fractional):
La 0.000 0.000 0.145 (multiplicity 4)
Mo 0.000 0.000 0.500 (multiplicity 2)

---

# 7
A crystal of LaMo3 relaxed with PBEsol, computed with meta-GGA SCAN.

Crystal system = tetragonal
Energy of formation from the pure elements = 0.76 eV/atom
Offset from the most stable computed form = 299.3 meV/atom

Unit cell a=4.691 b=4.691 c=3.219 alpha=90.00 beta=90.00 gamma=90.00
Space group P4/mmm (No. 123)
Symmetry-distinct sites (fractional):
La 0.000 0.000 0.000 (multiplicity 1)
Mo 0.000 0.500 0.500 (multiplicity 2)
Mo 0.500 0.500 0.000 (multiplicity 1)

---

# 8
A crystal of LaMo3 relaxed with PBEsol, computed with meta-GGA SCAN.

Crystal system = trigonal
Energy of formation from the pure elements = 0.70 eV/atom
Offset from the most stable computed form = 236.3 meV/atom

Unit cell a=9.0567 b=9.0567 c=2.9680 alpha=90.00 beta=90.00 gamma=120.00
Space group R-3m (No. 166, hexagonal axes)
Symmetry-distinct sites (fractional):
La 0.0000 0.0000 0.0000 (multiplicity 3)
Mo 0.0000 0.5000 0.0000 (multiplicity 9)

---

# 9
A crystal of LaMo5 relaxed with PBEsol, computed with meta-GGA SCAN.

Crystal system = orthorhombic
Energy of formation from the pure elements = 0.46 eV/atom
Offset from the most stable computed form = 35.7 meV/atom

Unit cell a=3.175 b=13.950 c=4.603 alpha=90.00 beta=90.00 gamma=90.00
Space group Cmmm (No. 65)
Symmetry-distinct sites (fractional):
La 0.000 0.000 0.000 (multiplicity 2)
Mo 0.000 0.174 0.500 (multiplicity 4)
Mo 0.000 0.323 0.000 (multiplicity 4)
Mo 0.000 0.500 0.500 (multiplicity 2)

---

# 10
A crystal of LaMo3 relaxed with PBEsol, computed with meta-GGA SCAN.

Crystal system = orthorhombic
Energy of formation from the pure elements = 0.46 eV/atom
Offset from the most stable computed form = 0.0 meV/atom

Unit cell a=3.203 b=4.718 c=9.533 alpha=90.00 beta=90.00 gamma=90.00
Space group Cmmm (No. 65)
Symmetry-distinct sites (fractional):
La 0.000 0.000 0.000 (multiplicity 2)
Mo 0.000 0.000 0.500 (multiplicity 2)
Mo 0.000 0.500 0.284 (multiplicity 4)

---

# 11
A crystal of La2Mo3 relaxed with PBEsol, computed with meta-GGA SCAN.

Crystal system = trigonal
Energy of formation from the pure elements = 0.79 eV/atom

Unit cell a=3.2645 b=3.2645 c=33.8309 alpha=90.00 beta=90.00 gamma=120.00
Space group R-3m (No. 166, hexagonal axes)
Symmetry-distinct sites (fractional):
La 0.0000 0.0000 0.0998 (multiplicity 6)
Mo 0.0000 0.0000 0.3088 (multiplicity 6)
Mo 0.0000 0.0000 0.5000 (multiplicity 3)

---

# 12
A crystal of La2Mo relaxed with PBEsol, computed with meta-GGA SCAN.

Crystal system = hexagonal
Energy of formation from the pure elements = 0.47 eV/atom
Offset from the most stable computed form = 16.5 meV/atom

Unit cell a=4.7758 b=4.7758 c=7.8768 alpha=90.00 beta=90.00 gamma=120.00
Space group P6_3/mmc (No. 194)
Symmetry-distinct sites (fractional):
La 0.0000 0.0000 0.0000 (multiplicity 2)
La 0.3333 0.6667 0.2500 (multiplicity 2)
Mo 0.3333 0.6667 0.7500 (multiplicity 2)

---

# 13
A crystal of LaMo2 relaxed with PBEsol, computed with meta-GGA SCAN.

Crystal system = tetragonal
Energy of formation from the pure elements = 0.70 eV/atom
Offset from the most stable computed form = 327.6 meV/atom

Unit cell a=3.597 b=3.597 c=5.296 alpha=90.00 beta=90.00 gamma=90.00
Space group P4/mmm (No. 123)
Symmetry-distinct sites (fractional):
La 0.000 0.000 0.000 (multiplicity 1)
Mo 0.000 0.500 0.500 (multiplicity 2)

---

# 14
A crystal of LaMoN2 relaxed with PBEsol, computed with meta-GGA SCAN.

Crystal system = trigonal
E_form (uncorrected) = -0.246 eV/atom
Offset from the most stable computed form = 522.1 meV/atom

Unit cell a=3.1864 b=3.1864 c=19.8237 alpha=90.00 beta=90.00 gamma=120.00
Space group R-3m (No. 166, hexagonal axes)
Symmetry-distinct sites (fractional):
La 0.0000 0.0000 0.0000 (multiplicity 3)
Mo 0.0000 0.0000 0.5000 (multiplicity 3)
N 0.0000 0.0000 0.1165 (multiplicity 6)

---

# 15
A crystal of LaMoN2 relaxed with PBEsol, computed with meta-GGA SCAN.

Crystal system = tetragonal
E_form (uncorrected) = -0.768 eV/atom
Offset from the most stable computed form = 0.0 meV/atom

Unit cell a=4.953 b=4.953 c=10.479 alpha=90.00 beta=90.00 gamma=90.00
Space group I-42d (No. 122)
Symmetry-distinct sites (fractional):
La 0.000 0.000 0.000 (multiplicity 4)
Mo 0.000 0.000 0.500 (multiplicity 4)
N 0.149 0.250 0.625 (multiplicity 8)